{
  "formula": "CsAl2CoTe",
  "functional": "PBE-GGA",
  "state": "relaxed",
  "lattice": [[4.8639, 0.0000, 0.0000], [0.0000, 4.8639, 0.0000], [0.0000, 0.0000, 5.4751]],
  "species": ["Cs", "Al", "Al", "Co", "Te"],
  "fractional_positions": [[0.0000, 0.0000, 0.0000], [0.0000, 0.5000, 0.5000], [0.5000, 0.0000, 0.5000], [0.0000, 0.0000, 0.5000], [0.5000, 0.5000, 0.0000]],
  "final_energy_ev_per_atom": -3.404,
  "formation_energy_uncorrected_ev_per_atom": 0.313,
  "total_magnetization_mub_per_fu": 0.12,
  "n_ef_per_ev_atom": 0.8308
}

***

{
  "formula": "CsAlV2Co",
  "functional": "PBE-GGA",
  "state": "relaxed",
  "lattice": [[4.8365, 0.0000, 0.0000], [0.0000, 4.8365, 0.0000], [0.0000, 0.0000, 4.7019]],
  "species": ["Cs", "Al", "V", "V", "Co"],
  "fractional_positions": [[0.0000, 0.0000, 0.0000], [0.5000, 0.5000, 0.0000], [0.0000, 0.5000, 0.5000], [0.5000, 0.0000, 0.5000], [0.5000, 0.5000, 0.5000]],
  "final_energy_ev_per_atom": -5.084,
  "ef_ev_per_atom": 0.904,
  "total_magnetization_mub_per_fu": 5.31,
  "n_ef_per_ev_atom": 0.6802
}